Rb2MgMnF6 | the Alexandria database | GGA+U | optimized geometry; total moment = 5.00 μB per formula unit; E_tot = -52.40 eV/f.u.; N(E_F) = 0.000 states/eV per atom
1.0
-2.9794 2.9794 4.2055
2.9794 -2.9794 4.2055
2.9794 2.9794 -4.2055
Rb Mg Mn F
2 1 1 6
direct
0.2500 0.7500 0.5000
0.7500 0.2500 0.5000
0.0000 0.0000 0.0000
0.5000 0.5000 0.0000
0.2431 0.2431 0.0000
0.2425 0.2425 0.4851
0.2425 0.7575 0.0000
0.7575 0.2425 0.0000
0.7569 0.7569 0.0000
0.7575 0.7575 0.5149